(P)
Here is TbGaAu4 after structural relaxation from Alexandria via LeMat-Bulk. Energies are from PBE.

Computed properties:
**Calculated volume**: 120.6 Å³/f.u.
**Density of states at the Fermi level**: 4.05 states/eV per cell

Cell lengths 5.210, 5.224, 9.392 Å; angles 100.63, 105.87, 90.22 degrees
Positions (direct):
1 Tb 0.250 0.250 0.000
2 Tb 0.750 0.750 0.000
3 Ga 0.000 0.500 0.500
4 Ga 0.500 0.000 0.500
5 Au 0.078 0.122 0.656
6 Au 0.163 0.691 0.821
7 Au 0.339 0.809 0.179
8 Au 0.420 0.378 0.344
9 Au 0.580 0.622 0.656
10 Au 0.661 0.191 0.821
11 Au 0.837 0.309 0.179
12 Au 0.922 0.878 0.344

---

(Q)
Here is TbGaAu4 after structural relaxation from Alexandria via LeMat-Bulk. Energies are from PBE.

Computed properties:
**Calculated volume**: 122.9 Å³/f.u.
**Density of states at the Fermi level**: 1.66 states/eV per cell

Cell lengths 5.581, 5.581, 5.581 Å; angles 60.00, 60.00, 60.00 degrees
Positions (direct):
1 Tb 0.000 0.000 0.000
2 Ga 0.250 0.250 0.250
3 Au 0.125 0.625 0.625
4 Au 0.625 0.125 0.625
5 Au 0.625 0.625 0.125
6 Au 0.625 0.625 0.625

---

So which one is most stable? That would be (P), about 7.9 kJ/mol of atoms below the next structure.